A geometry-optimized NaReWO6 structure, computed with PBE+U.

```
data_NaReWO6
_chemical_formula_sum 'Na2 Re2 W2 O12'
_cell_length_a 4.880
_cell_length_b 4.880
_cell_length_c 9.276
_cell_angle_alpha 90.00
_cell_angle_beta 90.00
_cell_angle_gamma 90.00
_symmetry_space_group_name_H-M 'P 42 n m'
_symmetry_Int_Tables_number 102
loop_
_symmetry_equiv_pos_as_xyz
'x,y,z'
'-y+1/2,x+1/2,z+1/2'
'-x,-y,z'
'y+1/2,-x+1/2,z+1/2'
'-x+1/2,y+1/2,z+1/2'
'y,x,z'
'x+1/2,-y+1/2,z+1/2'
'-y,-x,z'
loop_
_atom_site_label
_atom_site_type_symbol
_atom_site_fract_x
_atom_site_fract_y
_atom_site_fract_z
Na1 Na 0.000 0.000 0.000
Re1 Re 0.000 0.000 0.326
W1 W 0.000 0.000 0.670
O1 O 0.171 0.171 0.497
O2 O 0.218 0.218 0.196
O3 O 0.220 0.220 0.803
```

Calculated values
* E_tot: -7.37 eV per atom
* total moment: 0.0 μB/f.u.